The following is a DFT calculation (PBE) of Ba2CaPaSe6 after structural relaxation.

Geometry as CIF:
```
data_Ba2CaPaSe6
_chemical_formula_sum 'Ba4 Ca2 Pa2 Se12'
_cell_length_a 7.5151
_cell_length_b 8.0141
_cell_length_c 13.0198
_cell_angle_alpha 90.00
_cell_angle_beta 123.63
_cell_angle_gamma 90.00
_symmetry_space_group_name_H-M 'P 1 21/c 1'
_symmetry_Int_Tables_number 14
_symmetry_space_group_name_Hall '-P 2ybc'
loop_
_atom_site_label
_atom_site_type_symbol
_atom_site_fract_x
_atom_site_fract_y
_atom_site_fract_z
Ba1 Ba 0.2169 0.0772 0.2455
Ca1 Ca 0.0000 0.0000 0.5000
Pa1 Pa 0.5000 0.0000 0.0000
Se1 Se 0.1568 0.1930 0.9534
Se2 Se 0.2590 0.7121 0.9473
Se3 Se 0.3540 0.0227 0.7547
```

## Properties
Theoretical density   5.19 g/cm3
Total magnetization   0.01 Bohr magnetons per cell
Formation energy (no corrections)   -1.655 eV/atom